Compound: PmHo2Cd2
Source: the Alexandria database
Functional: GGA-PBE
Structure: optimized geometry

a = 5.4014 Å, b = 3.7311 Å, c = 13.9187 Å
α = 82.29°, β = 90.00°, γ = 90.00°
Positions (direct):
Pm: 0.2500 0.8505 0.2966
Pm: 0.7500 0.1495 0.7034
Ho: 0.2500 0.0468 0.9072
Ho: 0.7500 0.9532 0.0928
Ho: 0.2500 0.2363 0.5269
Ho: 0.7500 0.7637 0.4731
Cd: 0.2500 0.6420 0.7170
Cd: 0.7500 0.3580 0.2830
Cd: 0.2500 0.4515 0.0966
Cd: 0.7500 0.5485 0.9034

Values from the calculation:
- V: 27.8 A^3/atom
- Fermi-level density of states: 10.37 states/eV/cell
- Symmetry: P2_1/m (11)
- DFT formation energy: -0.2536 eV/atom